# 1
The following is a DFT calculation (PBE) of an optimized crystal structure of Ba2TlIrPb.

Output
- ΔE_f (eV per atom) = -0.18
- crystal system = tetragonal
- Fermi-level density of states (states/eV per atom) = 1.060
- calculated density (g/cm3) = 7.4
- symmetry = P4/mmm, No. 123

Lattice parameters (Å, degrees): 6.1240 6.1240 5.2456 90.00 90.00 90.00
With the nearest neighbours (Å) after each atom.
Atoms (fractional coordinates):
Pb1 0.0000 0.0000 0.5000  2 Ir 2.62
Tl1 0.5000 0.5000 0.5000  8 Ba 4.03, 4 Pb 4.33
Ir1 0.0000 0.0000 0.0000  2 Pb 2.62
Ba1 0.0000 0.5000 0.0000  2 Ir 3.06
Ba2 0.5000 0.0000 0.0000  2 Ir 3.06

# 2
The following is a DFT calculation (PBE) of an optimized crystal structure of BaYIrPb2.

Output
- ΔE_f (eV per atom) = 1.20
- crystal system = tetragonal
- Fermi-level density of states (states/eV per atom) = 1.482
- calculated density (g/cm3) = 7.1
- symmetry = P4/mmm, No. 123

Lattice parameters (Å, degrees): 6.0530 5.2915 6.0530 90.00 90.00 90.00
With the nearest neighbours (Å) after each atom.
Atoms (fractional coordinates):
Pb1 0.0000 0.0000 0.5000  2 Ba 3.03
Pb2 0.5000 0.0000 0.0000  2 Ba 3.03
Y1 0.5000 0.5000 0.5000  8 Pb 4.02, 4 Ir 4.28
Ir1 0.0000 0.5000 0.0000  2 Ba 2.65
Ba1 0.0000 0.0000 0.0000  2 Ir 2.65

# 3
The following is a DFT calculation (PBE) of an optimized crystal structure of BaZn2IrPb.

Output
- ΔE_f (eV per atom) = -0.21
- crystal system = tetragonal
- Fermi-level density of states (states/eV per atom) = 0.595
- calculated density (g/cm3) = 8.4
- symmetry = P4/mmm, No. 123

Lattice parameters (Å, degrees): 5.0030 5.0030 5.2421 90.00 90.00 90.00
With the nearest neighbours (Å) after each atom.
Atoms (fractional coordinates):
Pb1 0.0000 0.0000 0.5000  2 Ir 2.62
Zn1 0.0000 0.5000 0.0000  2 Ir 2.50
Zn2 0.5000 0.0000 0.0000  2 Ir 2.50
Ir1 0.0000 0.0000 0.0000  4 Zn 2.50, 2 Pb 2.62
Ba1 0.5000 0.5000 0.5000  4 Pb 3.54, 8 Zn 3.62

# 4
The following is a DFT calculation (PBE) of an optimized crystal structure of BaIrPd2.

Output
- ΔE_f (eV per atom) = -0.18
- crystal system = monoclinic
- Fermi-level density of states (states/eV per atom) = 1.047
- calculated density (g/cm3) = 10.7
- symmetry = C2/m, No. 12
- offset from the most stable computed form (eV per atom) = 0.019

Lattice parameters (Å, degrees): 5.8278 4.4632 14.2333 90.00 114.08 90.00
With the nearest neighbours (Å) after each atom.
Atoms (fractional coordinates):
Ba1 0.1040 0.0000 0.3536  7 Pd 3.01-3.28
Ba2 0.8960 0.0000 0.6464  7 Pd 3.01-3.28
Ba3 0.1040 0.5000 0.8536  7 Pd 3.01-3.28
Ba4 0.8960 0.5000 0.1464  7 Pd 3.01-3.28
Ir1 0.4547 0.0000 0.2028  2 Ir 2.55, 3 Pd 2.71-2.76
Ir2 0.5453 0.0000 0.7972  2 Ir 2.55, 3 Pd 2.71-2.76
Ir3 0.4547 0.5000 0.7028  2 Ir 2.55, 3 Pd 2.71-2.76
Ir4 0.5453 0.5000 0.2972  2 Ir 2.55, 3 Pd 2.71-2.76
Pd1 0.0000 0.0000 0.0000  6 Pd 2.88-2.91, 2 Ir 3.02
Pd2 0.0000 0.5000 0.5000  6 Pd 2.88-2.91, 2 Ir 3.02
Pd3 0.3345 0.0000 0.5849  3 Ir 2.71-2.76, 4 Pd 2.88, 3 Ba 3.01-3.02
Pd4 0.6655 0.0000 0.4151  3 Ir 2.71-2.76, 4 Pd 2.88, 3 Ba 3.01-3.02
Pd5 0.3345 0.5000 0.0849  3 Ir 2.71-2.76, 4 Pd 2.88, 3 Ba 3.01-3.02
Pd6 0.6655 0.5000 0.9151  3 Ir 2.71-2.76, 4 Pd 2.88, 3 Ba 3.01-3.02
Pd7 0.5000 0.5000 0.5000  6 Pd 2.88-2.91, 2 Ir 3.00
Pd8 0.5000 0.0000 0.0000  6 Pd 2.88-2.91, 2 Ir 3.00

# 5
The following is a DFT calculation (PBE) of an optimized crystal structure of BaIrPd2.

Output
- ΔE_f (eV per atom) = -0.15
- crystal system = monoclinic
- Fermi-level density of states (states/eV per atom) = 1.024
- calculated density (g/cm3) = 10.5
- symmetry = Cm, No. 8
- offset from the most stable computed form (eV per atom) = 0.046

Lattice parameters (Å, degrees): 5.8868 4.4561 14.3392 90.00 113.76 90.00
With the nearest neighbours (Å) after each atom.
Atoms (fractional coordinates):
Ba1 0.8590 0.0000 0.1519  2 Ir 3.00-3.03, 5 Pd 3.04-3.29
Ba2 0.8590 0.5000 0.6519  2 Ir 3.00-3.03, 5 Pd 3.04-3.29
Ba3 0.6446 0.0000 0.4408  6 Pd 3.03-3.26, 1 Ir 3.14
Ba4 0.6446 0.5000 0.9408  6 Pd 3.03-3.26, 1 Ir 3.14
Ir1 0.3072 0.0000 0.6128  2 Ir 2.52, 3 Pd 2.71-2.79
Ir2 0.3072 0.5000 0.1128  2 Ir 2.52, 3 Pd 2.71-2.79
Ir3 0.4059 0.0000 0.2018  2 Ir 2.52, 1 Pd 2.70
Ir4 0.4059 0.5000 0.7018  2 Ir 2.52, 1 Pd 2.70
Pd1 0.7500 0.0000 0.7967  3 Ir 2.86-2.95, 5 Pd 2.91-3.10
Pd2 0.7500 0.5000 0.2967  3 Ir 2.86-2.95, 5 Pd 2.91-3.10
Pd3 0.2263 0.0000 0.9964  3 Pd 2.68-2.92, 3 Ir 2.70-2.71
Pd4 0.2263 0.5000 0.4964  3 Pd 2.68-2.92, 3 Ir 2.70-2.71
Pd5 0.2553 0.0000 0.7980  3 Ir 2.79-2.94, 5 Pd 2.90-2.97
Pd6 0.2553 0.5000 0.2980  3 Ir 2.79-2.94, 5 Pd 2.90-2.97
Pd7 0.0867 0.0000 0.3836  6 Pd 2.68-2.91
Pd8 0.0867 0.5000 0.8836  6 Pd 2.68-2.91

# 6
The following is a DFT calculation (PBE) of an optimized crystal structure of Ba12IrPd6.

Output
- ΔE_f (eV per atom) = -0.37
- crystal system = trigonal
- Fermi-level density of states (states/eV per atom) = 0.650
- calculated density (g/cm3) = 5.2
- symmetry = R-3, No. 148

Lattice parameters (Å, degrees): 9.3708 9.3708 9.3708 99.05 99.05 99.05
With the nearest neighbours (Å) after each atom.
Atoms (fractional coordinates):
Ba1 0.8216 0.5835 0.4163  4 Pd 3.14-3.43
Ba2 0.4163 0.8216 0.5835  4 Pd 3.14-3.43
Ba3 0.5835 0.4163 0.8216  4 Pd 3.14-3.43
Ba4 0.1784 0.4165 0.5837  4 Pd 3.14-3.43
Ba5 0.5837 0.1784 0.4165  4 Pd 3.14-3.43
Ba6 0.4165 0.5837 0.1784  4 Pd 3.14-3.43
Ba7 0.0835 0.9588 0.3164  1 Ir 3.05, 2 Pd 3.29-3.31
Ba8 0.0412 0.6836 0.9165  1 Ir 3.05, 2 Pd 3.29-3.31
Ba9 0.6836 0.9165 0.0412  1 Ir 3.05, 2 Pd 3.29-3.31
Ba10 0.9165 0.0412 0.6836  1 Ir 3.05, 2 Pd 3.29-3.31
Ba11 0.9588 0.3164 0.0835  1 Ir 3.05, 2 Pd 3.29-3.31
Ba12 0.3164 0.0835 0.9588  1 Ir 3.05, 2 Pd 3.29-3.31
Ir1 0.0000 0.0000 0.0000  6 Ba 3.05
Pd1 0.6861 0.8648 0.3804  6 Ba 3.14-3.43
Pd2 0.6196 0.3139 0.1352  6 Ba 3.14-3.43
Pd3 0.1352 0.6196 0.3139  6 Ba 3.14-3.43
Pd4 0.3139 0.1352 0.6196  6 Ba 3.14-3.43
Pd5 0.3804 0.6861 0.8648  6 Ba 3.14-3.43
Pd6 0.8648 0.3804 0.6861  6 Ba 3.14-3.43

- Fermi-level density of states of number 2 (BaYIrPb2)?
  1.482 states/eV per atom

Copy entry 6 word for word.
The following is a DFT calculation (PBE) of an optimized crystal structure of Ba12IrPd6.

Output
- ΔE_f (eV per atom) = -0.37
- crystal system = trigonal
- Fermi-level density of states (states/eV per atom) = 0.650
- calculated density (g/cm3) = 5.2
- symmetry = R-3, No. 148

Lattice parameters (Å, degrees): 9.3708 9.3708 9.3708 99.05 99.05 99.05
With the nearest neighbours (Å) after each atom.
Atoms (fractional coordinates):
Ba1 0.8216 0.5835 0.4163  4 Pd 3.14-3.43
Ba2 0.4163 0.8216 0.5835  4 Pd 3.14-3.43
Ba3 0.5835 0.4163 0.8216  4 Pd 3.14-3.43
Ba4 0.1784 0.4165 0.5837  4 Pd 3.14-3.43
Ba5 0.5837 0.1784 0.4165  4 Pd 3.14-3.43
Ba6 0.4165 0.5837 0.1784  4 Pd 3.14-3.43
Ba7 0.0835 0.9588 0.3164  1 Ir 3.05, 2 Pd 3.29-3.31
Ba8 0.0412 0.6836 0.9165  1 Ir 3.05, 2 Pd 3.29-3.31
Ba9 0.6836 0.9165 0.0412  1 Ir 3.05, 2 Pd 3.29-3.31
Ba10 0.9165 0.0412 0.6836  1 Ir 3.05, 2 Pd 3.29-3.31
Ba11 0.9588 0.3164 0.0835  1 Ir 3.05, 2 Pd 3.29-3.31
Ba12 0.3164 0.0835 0.9588  1 Ir 3.05, 2 Pd 3.29-3.31
Ir1 0.0000 0.0000 0.0000  6 Ba 3.05
Pd1 0.6861 0.8648 0.3804  6 Ba 3.14-3.43
Pd2 0.6196 0.3139 0.1352  6 Ba 3.14-3.43
Pd3 0.1352 0.6196 0.3139  6 Ba 3.14-3.43
Pd4 0.3139 0.1352 0.6196  6 Ba 3.14-3.43
Pd5 0.3804 0.6861 0.8648  6 Ba 3.14-3.43
Pd6 0.8648 0.3804 0.6861  6 Ba 3.14-3.43

- Fermi-level density of states of number 2 (BaYIrPb2)?
  1.482 states/eV per atom

- ΔE_f of number 3 (BaZn2IrPb)?
  -0.21 eV per atom